Entry 1:
{
  "formula": "Mg8Hg2Ir",
  "functional": "PBE-GGA",
  "state": "optimized geometry",
  "lattice": [[7.756, -2.344, 0.000], [7.756, 2.344, 0.000], [-2.713, 0.000, 6.249]],
  "species": ["Mg", "Mg", "Mg", "Mg", "Mg", "Mg", "Mg", "Mg", "Hg", "Hg", "Ir"],
  "fractional_positions": [[0.018, 0.018, 0.296], [0.181, 0.181, 0.739], [0.345, 0.345, 0.580], [0.397, 0.397, 0.082], [0.603, 0.603, 0.918], [0.655, 0.655, 0.420], [0.819, 0.819, 0.261], [0.982, 0.982, 0.704], [0.181, 0.181, 0.174], [0.819, 0.819, 0.826], [0.500, 0.500, 0.500]],
  "spacegroup": "C2/m",
  "formation_energy_ev_per_atom": -0.217,
  "m_tot_mub_per_cell": 0.00,
  "dft_energy_ev_per_atom": -2.2373
}


Entry 2:
{
  "formula": "MgHg2Ir",
  "functional": "PBE-GGA",
  "state": "optimized geometry",
  "lattice": [[-2.054, 2.054, 9.825], [2.054, -2.054, 9.825], [2.054, 2.054, -9.825]],
  "species": ["Mg", "Mg", "Hg", "Hg", "Hg", "Hg", "Ir", "Ir"],
  "fractional_positions": [[0.000, 0.000, 0.000], [0.750, 0.250, 0.500], [0.137, 0.625, 0.012], [0.375, 0.387, 0.512], [0.613, 0.125, 0.988], [0.875, 0.863, 0.488], [0.250, 0.750, 0.500], [0.500, 0.500, 0.000]],
  "spacegroup": "I-42d",
  "formation_energy_ev_per_atom": 0.290,
  "m_tot_mub_per_cell": 0.00,
  "dft_energy_ev_per_atom": -2.4753
}


Entry 3:
{
  "formula": "MgHg2Ir",
  "functional": "PBE-GGA",
  "state": "optimized geometry",
  "lattice": [[-2.071, 2.071, 4.291], [2.071, -2.071, 4.291], [2.071, 2.071, -4.291]],
  "species": ["Mg", "Hg", "Hg", "Ir"],
  "fractional_positions": [[0.000, 0.000, 0.000], [0.250, 0.750, 0.500], [0.750, 0.250, 0.500], [0.500, 0.500, 0.000]],
  "spacegroup": "I4/mmm",
  "formation_energy_ev_per_atom": 0.067,
  "m_tot_mub_per_cell": 0.00,
  "dft_energy_ev_per_atom": -2.6978
}


Entry 4:
{
  "formula": "Mg2HgIr2",
  "functional": "PBE-GGA",
  "state": "optimized geometry",
  "lattice": [[7.197, 0.000, 0.000], [0.000, 7.197, 0.000], [0.000, 0.000, 3.386]],
  "species": ["Mg", "Mg", "Mg", "Mg", "Hg", "Hg", "Ir", "Ir", "Ir", "Ir"],
  "fractional_positions": [[0.161, 0.339, 0.000], [0.339, 0.839, 0.000], [0.661, 0.161, 0.000], [0.839, 0.661, 0.000], [0.000, 0.000, 0.500], [0.500, 0.500, 0.500], [0.134, 0.634, 0.500], [0.366, 0.134, 0.500], [0.634, 0.866, 0.500], [0.866, 0.366, 0.500]],
  "spacegroup": "P4/mbm",
  "formation_energy_ev_per_atom": -0.099,
  "m_tot_mub_per_cell": 0.00,
  "dft_energy_ev_per_atom": -4.3417
}


Entry 5:
{
  "formula": "MgHg2Ir",
  "functional": "PBE-GGA",
  "state": "optimized geometry",
  "lattice": [[4.746, -1.585, 0.000], [4.746, 1.585, 0.000], [-1.004, 0.000, 5.027]],
  "species": ["Mg", "Hg", "Hg", "Ir"],
  "fractional_positions": [[0.000, 0.000, 0.000], [0.246, 0.246, 0.743], [0.754, 0.754, 0.257], [0.500, 0.500, 0.500]],
  "spacegroup": "C2/m",
  "formation_energy_ev_per_atom": 0.111,
  "m_tot_mub_per_cell": 0.00,
  "dft_energy_ev_per_atom": -2.6536
}


Entry 6:
{
  "formula": "MgHg3Ir",
  "functional": "PBE-GGA",
  "state": "optimized geometry",
  "lattice": [[5.254, 0.000, 0.000], [0.000, 5.254, 0.000], [0.000, 0.000, 5.254]],
  "species": ["Mg", "Hg", "Hg", "Hg", "Ir"],
  "fractional_positions": [[0.000, 0.000, 0.000], [0.000, 0.500, 0.500], [0.500, 0.000, 0.500], [0.500, 0.500, 0.000], [0.500, 0.500, 0.500]],
  "spacegroup": "Pm-3m",
  "formation_energy_ev_per_atom": 0.385,
  "m_tot_mub_per_cell": 0.00,
  "dft_energy_ev_per_atom": -1.8872
}


Question: Which formula does entry 5 have?
Answer: MgHg2Ir


Repeat the second record exactly.
{
  "formula": "MgHg2Ir",
  "functional": "PBE-GGA",
  "state": "optimized geometry",
  "lattice": [[-2.054, 2.054, 9.825], [2.054, -2.054, 9.825], [2.054, 2.054, -9.825]],
  "species": ["Mg", "Mg", "Hg", "Hg", "Hg", "Hg", "Ir", "Ir"],
  "fractional_positions": [[0.000, 0.000, 0.000], [0.750, 0.250, 0.500], [0.137, 0.625, 0.012], [0.375, 0.387, 0.512], [0.613, 0.125, 0.988], [0.875, 0.863, 0.488], [0.250, 0.750, 0.500], [0.500, 0.500, 0.000]],
  "spacegroup": "I-42d",
  "formation_energy_ev_per_atom": 0.290,
  "m_tot_mub_per_cell": 0.00,
  "dft_energy_ev_per_atom": -2.4753
}


Question: What is the formula in the sixth record?
Answer: MgHg3Ir